A geometry-optimized Pr8RuPt2 structure. Source: the Alexandria database, functional PBE.

```
11
Lattice="8.959 -2.552 0.000 8.959 2.552 0.000 -0.961 0.000 7.051" Properties=species:S:1:pos:R:3 pbc="T T T"
Pr 0.281 0.000 1.982
Pr 2.865 0.000 5.889
Pr 5.562 0.000 3.745
Pr 7.324 0.000 0.398
Pr 9.633 0.000 6.654
Pr 11.396 0.000 3.307
Pr 14.092 0.000 1.162
Pr 16.676 0.000 5.069
Ru 8.479 0.000 3.526
Pt 3.380 0.000 1.699
Pt 13.577 0.000 5.352
```

Summary:
* E_tot: -5.847 eV/atom
* symmetry: C2/m, No. 12
* calculated formation energy: -430 meV per atom
* energy above the most stable polymorph in this dataset: 0.0000 eV per atom

=====

A geometry-optimized Re5P3 structure. Source: the Alexandria database, functional PBE.

```
16
Lattice="6.789 0.000 0.000 -3.394 5.879 0.000 0.000 0.000 5.530" Properties=species:S:1:pos:R:3 pbc="T T T"
Re -0.818 1.417 1.383
Re -2.576 4.462 4.148
Re 1.636 0.000 1.383
Re 0.818 1.417 4.148
Re 0.000 3.920 0.000
Re 0.000 3.920 2.765
Re 3.394 1.960 0.000
Re 3.394 1.960 2.765
Re 5.153 0.000 4.148
Re 2.576 4.462 1.383
P -1.374 2.381 4.148
P -2.020 3.499 1.383
P 2.749 0.000 4.148
P 1.374 2.381 1.383
P 4.040 0.000 1.383
P 2.020 3.499 4.148
```

Summary:
* E_tot: -9.700 eV/atom
* symmetry: P6_3/mcm, No. 193
* calculated formation energy: 109 meV per atom
* energy above the most stable polymorph in this dataset: 0.0000 eV per atom

=====

A geometry-optimized InReAg structure. Source: the Alexandria database, functional PBE.

```
3
Lattice="2.930 0.000 0.000 -1.465 2.537 0.000 0.000 0.000 7.186" Properties=species:S:1:pos:R:3 pbc="T T T"
In 0.000 0.000 0.000
Re 1.465 0.846 2.361
Ag 0.000 1.691 4.702
```

Summary:
* E_tot: -5.431 eV/atom
* symmetry: P3m1, No. 156
* calculated formation energy: 581 meV per atom
* energy above the most stable polymorph in this dataset: 0.0000 eV per atom

=====

A geometry-optimized Cr2AsIr structure. Source: the Alexandria database, functional PBE.

```
4
Lattice="-1.461 2.149 4.202 1.461 -2.149 4.202 1.461 2.149 -4.202" Properties=species:S:1:pos:R:3 pbc="T T T"
Cr 0.000 0.000 1.929
Cr 0.000 0.000 6.476
As 1.461 0.000 0.000
Ir 0.000 2.149 0.000
```

Summary:
* E_tot: -8.103 eV/atom
* symmetry: Immm, No. 71
* calculated formation energy: 86 meV per atom

=====

A geometry-optimized CrInRh2 structure. Source: the Alexandria database, functional PBE.

```
4
Lattice="4.743 -1.486 0.000 4.743 1.486 0.000 -1.256 0.000 4.436" Properties=species:S:1:pos:R:3 pbc="T T T"
Cr 0.000 0.000 0.000
In 1.471 0.000 2.881
Rh 4.057 0.000 2.095
Rh 6.793 0.000 0.619
```

Summary:
* E_tot: -6.833 eV/atom
* symmetry: Cm, No. 8
* calculated formation energy: -66 meV per atom

=====

A geometry-optimized Sr2CoHgPt structure. Source: the Alexandria database, functional PBE.

```
5
Lattice="5.645 0.000 0.000 0.000 5.645 0.000 0.000 0.000 4.550" Properties=species:S:1:pos:R:3 pbc="T T T"
Sr 0.000 2.823 0.000
Sr 2.823 0.000 0.000
Co 0.000 0.000 0.000
Hg 2.823 2.823 2.275
Pt 0.000 0.000 2.275
```

Summary:
* E_tot: -3.433 eV/atom
* symmetry: P4/mmm, No. 123
* calculated formation energy: -71 meV per atom

=====

Table of total magnetization (Bohr magnetons per cell), in record order: 0.0, 0.0, 0.0, 0.0, 2.7, 0.0